# 1
{"formula": "KHfAgTe2Se", "functional": "PBE-GGA", "state": "relaxed", "de_polymorph_ev_per_fu": 0.520, "mass_density_g_cm3": 6.25, "lattice": [[2.082, -7.867, 0.000], [2.082, 7.867, 0.000], [0.000, 0.000, 10.699]], "species": ["K", "K", "Hf", "Hf", "Ag", "Ag", "Te", "Te", "Te", "Te", "Se", "Se"], "fractional_positions": [[0.246, 0.754, 0.750], [0.754, 0.246, 0.250], [0.500, 0.500, 0.000], [0.500, 0.500, 0.500], [0.044, 0.956, 0.250], [0.956, 0.044, 0.750], [0.130, 0.870, 0.030], [0.130, 0.870, 0.470], [0.870, 0.130, 0.530], [0.870, 0.130, 0.970], [0.440, 0.560, 0.250], [0.560, 0.440, 0.750]]}



# 2
{"formula": "KHfAg3Te4", "functional": "PBE-GGA", "state": "relaxed", "de_polymorph_ev_per_fu": 0.000, "mass_density_g_cm3": 5.40, "lattice": [[6.863, 0.000, 0.000], [0.000, 6.863, 0.000], [0.000, 0.000, 6.863]], "species": ["K", "Hf", "Ag", "Ag", "Ag", "Te", "Te", "Te", "Te"], "fractional_positions": [[0.000, 0.000, 0.000], [0.500, 0.500, 0.500], [0.000, 0.500, 0.500], [0.500, 0.000, 0.500], [0.500, 0.500, 0.000], [0.271, 0.271, 0.271], [0.271, 0.729, 0.729], [0.729, 0.271, 0.729], [0.729, 0.729, 0.271]]}



# 3
{"formula": "KHfAgTe3", "functional": "PBE-GGA", "state": "relaxed", "mass_density_g_cm3": 6.23, "lattice": [[15.748, 0.000, 0.000], [0.000, 4.222, 0.000], [0.000, 0.000, 11.359]], "species": ["K", "K", "K", "K", "Hf", "Hf", "Hf", "Hf", "Ag", "Ag", "Ag", "Ag", "Te", "Te", "Te", "Te", "Te", "Te", "Te", "Te", "Te", "Te", "Te", "Te"], "fractional_positions": [[0.230, 0.250, 0.050], [0.270, 0.750, 0.550], [0.730, 0.250, 0.450], [0.770, 0.750, 0.950], [0.013, 0.250, 0.323], [0.487, 0.750, 0.823], [0.513, 0.250, 0.177], [0.987, 0.750, 0.677], [0.014, 0.750, 0.092], [0.486, 0.250, 0.592], [0.514, 0.750, 0.408], [0.986, 0.250, 0.908], [0.089, 0.250, 0.565], [0.104, 0.750, 0.865], [0.136, 0.750, 0.270], [0.364, 0.250, 0.770], [0.396, 0.250, 0.365], [0.411, 0.750, 0.065], [0.589, 0.250, 0.935], [0.604, 0.750, 0.635], [0.636, 0.750, 0.230], [0.864, 0.250, 0.730], [0.896, 0.250, 0.135], [0.911, 0.750, 0.435]]}



# 4
{"formula": "KHfAgTe3", "functional": "PBE-GGA", "state": "relaxed", "mass_density_g_cm3": 6.27, "lattice": [[12.975, 0.000, 0.000], [0.000, 4.295, 0.000], [0.000, 0.000, 13.454]], "species": ["K", "K", "K", "K", "Hf", "Hf", "Hf", "Hf", "Ag", "Ag", "Ag", "Ag", "Te", "Te", "Te", "Te", "Te", "Te", "Te", "Te", "Te", "Te", "Te", "Te"], "fractional_positions": [[0.168, 0.250, 0.024], [0.332, 0.750, 0.524], [0.668, 0.250, 0.476], [0.832, 0.750, 0.976], [0.049, 0.250, 0.337], [0.451, 0.750, 0.837], [0.549, 0.250, 0.163], [0.951, 0.750, 0.663], [0.250, 0.250, 0.709], [0.250, 0.750, 0.209], [0.750, 0.250, 0.791], [0.750, 0.750, 0.291], [0.031, 0.750, 0.186], [0.082, 0.250, 0.570], [0.239, 0.750, 0.843], [0.261, 0.250, 0.343], [0.418, 0.750, 0.070], [0.469, 0.250, 0.686], [0.531, 0.750, 0.314], [0.582, 0.250, 0.930], [0.739, 0.750, 0.657], [0.761, 0.250, 0.157], [0.918, 0.750, 0.430], [0.969, 0.250, 0.814]]}



Calculated E_tot in order - -57.029, -36.819, -111.741, -108.443 eV/cell